No. 1
DFT (GGA-PBE) results for a geometry-optimized LiTiSiO4 structure.

Properties
uncorrected formation energy	-18.5	eV/f.u.
V	285.8	Å³/cell
excess energy over the best structure of this formula in the dataset	18	meV per atom

```
LiTiSiO4
1.0
9.345 0.000 0.000
0.000 6.152 0.000
0.000 0.000 4.971
Li Ti Si O
4 4 4 16
direct
0.171 0.250 0.016 Li
0.329 0.750 0.516 Li
0.671 0.250 0.484 Li
0.829 0.750 0.984 Li
0.000 0.000 0.500 Ti
0.000 0.500 0.500 Ti
0.500 0.000 0.000 Ti
0.500 0.500 0.000 Ti
0.177 0.750 0.024 Si
0.323 0.250 0.524 Si
0.677 0.750 0.476 Si
0.823 0.250 0.976 Si
0.116 0.532 0.172 O
0.116 0.968 0.172 O
0.129 0.750 0.701 O
0.147 0.250 0.598 O
0.353 0.750 0.098 O
0.371 0.250 0.201 O
0.384 0.032 0.672 O
0.384 0.468 0.672 O
0.616 0.532 0.328 O
0.616 0.968 0.328 O
0.629 0.750 0.799 O
0.647 0.250 0.902 O
0.853 0.750 0.402 O
0.871 0.250 0.299 O
0.884 0.032 0.828 O
0.884 0.468 0.828 O
```

=====

No. 2
DFT (GGA-PBE) results for a geometry-optimized BePb2W structure.

Properties
V	79.3	Å³/cell
calculated formation energy	1015	meV/atom

```
BePb2W
1.0
3.636 0.000 0.000
0.000 3.636 0.000
0.000 0.000 5.999
Be Pb W
1 2 1
direct
0.000 0.000 0.000 Be
0.500 0.500 0.246 Pb
0.500 0.500 0.754 Pb
0.000 0.000 0.500 W
```

=====

No. 3
DFT (GGA-PBE) results for a geometry-optimized ErPuSO2 structure.

Properties
uncorrected formation energy	-13.9	eV/f.u.
V	84.7	Å³/cell

```
ErPuSO2
1.0
-1.881 1.881 5.984
1.881 -1.881 5.984
1.881 1.881 -5.984
Er Pu S O
1 1 1 2
direct
0.000 0.000 0.000 Er
0.704 0.704 0.000 Pu
0.347 0.347 0.000 S
0.094 0.594 0.500 O
0.594 0.094 0.500 O
```

=====

No. 4
DFT (GGA-PBE) results for a geometry-optimized BaBiPtPb2 structure.

Properties
V	176.6	Å³/cell
calculated formation energy	-282	meV/atom

```
BaBiPtPb2
1.0
5.445 0.000 0.000
0.000 5.445 0.000
0.000 0.000 5.956
Ba Bi Pt Pb
1 1 1 2
direct
0.000 0.000 0.000 Ba
0.500 0.500 0.000 Bi
0.000 0.000 0.500 Pt
0.000 0.500 0.500 Pb
0.500 0.000 0.500 Pb
```

=====

No. 5
DFT (GGA-PBE) results for a geometry-optimized KTb2Br7 structure.

Properties
uncorrected formation energy	-18.0	eV/f.u.
V	367.9	Å³/cell

```
KTb2Br7
1.0
4.524 -7.248 0.000
4.524 7.248 0.000
0.000 0.000 5.611
K Tb Br
1 2 7
direct
0.000 0.000 0.000 K
0.302 0.698 0.500 Tb
0.698 0.302 0.500 Tb
0.049 0.326 0.500 Br
0.295 0.705 0.000 Br
0.326 0.049 0.500 Br
0.500 0.500 0.500 Br
0.674 0.951 0.500 Br
0.705 0.295 0.000 Br
0.951 0.674 0.500 Br
```

=====

No. 6
DFT (GGA-PBE) results for a geometry-optimized YP3Rh structure.

Properties
V	99.9	Å³/cell
calculated formation energy	-54	meV/atom
excess energy over the best structure of this formula in the dataset	0	meV per atom

```
YP3Rh
1.0
4.640 0.000 0.000
0.000 4.640 0.000
0.000 0.000 4.640
Y P Rh
1 3 1
direct
0.000 0.000 0.000 Y
0.000 0.500 0.500 P
0.500 0.000 0.500 P
0.500 0.500 0.000 P
0.500 0.500 0.500 Rh
```